Entry from Alexandria via LeMat-Bulk: a crystal of CrMoCl2 relaxed with PBEsol (SCAN).

POSCAR file:
```
CrMoCl2
1.0
2.9478 0.0000 0.0000
0.0000 5.5470 0.0000
0.0000 0.0000 8.1920
Cr Mo Cl
2 2 4
direct
0.0000 0.0000 0.0000
0.5000 0.5000 0.0000
0.0000 0.0000 0.5000
0.5000 0.5000 0.5000
0.0000 0.5000 0.2609
0.0000 0.5000 0.7391
0.5000 0.0000 0.2609
0.5000 0.0000 0.7391
```

## Properties
E in eV/atom: -17.122
Raw formation energy in eV per atom: 0.185
Volume in A^3/atom: 16.7

---

Entry from Alexandria via LeMat-Bulk: a crystal of RbBiAsIr2 relaxed with PBEsol (SCAN).

POSCAR file:
```
RbBiAsIr2
1.0
4.7848 0.0000 0.0000
0.0000 4.7848 0.0000
0.0000 0.0000 5.7311
Rb Bi As Ir
1 1 1 2
direct
0.0000 0.0000 0.0000
0.0000 0.0000 0.5000
0.5000 0.5000 0.5000
0.0000 0.5000 0.0000
0.5000 0.0000 0.0000
```

## Properties
E in eV/atom: -49.298
Energy of formation from the pure elements in eV per formula unit: 15.22
Volume in A^3/atom: 26.2

---

Entry from Alexandria via LeMat-Bulk: a crystal of BaMgMo relaxed with PBEsol (SCAN).

POSCAR file:
```
BaMgMo
1.0
7.3260 0.0000 0.0000
0.0000 7.3260 0.0000
0.0000 0.0000 7.3260
Ba Mg Mo
4 4 4
direct
0.0000 0.0000 0.0000
0.0000 0.5000 0.5000
0.5000 0.0000 0.5000
0.5000 0.5000 0.0000
0.2500 0.2500 0.7500
0.2500 0.7500 0.2500
0.7500 0.2500 0.2500
0.7500 0.7500 0.7500
0.0000 0.0000 0.5000
0.0000 0.5000 0.0000
0.5000 0.0000 0.0000
0.5000 0.5000 0.5000
```

## Properties
E in eV/atom: -25.207
Energy of formation from the pure elements in eV per formula unit: 3.79
Volume in A^3/atom: 32.8

---

Entry from Alexandria via LeMat-Bulk: a crystal of K3Ir relaxed with PBEsol (SCAN).

POSCAR file:
```
K3Ir
1.0
6.1511 0.0000 0.0000
0.0000 6.1511 0.0000
0.0000 0.0000 6.1511
K Ir
6 2
direct
0.0000 0.2500 0.5000
0.0000 0.7500 0.5000
0.2500 0.5000 0.0000
0.5000 0.0000 0.2500
0.5000 0.0000 0.7500
0.7500 0.5000 0.0000
0.0000 0.0000 0.0000
0.5000 0.5000 0.5000
```

## Properties
E in eV/atom: -23.300
Energy of formation from the pure elements in eV per formula unit: 2.88
Volume in A^3/atom: 29.1

---

Entry from Alexandria via LeMat-Bulk: a crystal of MnCdPt2 relaxed with PBEsol (SCAN).

POSCAR file:
```
MnCdPt2
1.0
5.7729 0.0000 0.0000
0.0000 7.3757 0.0000
0.0000 0.0000 2.9258
Mn Cd Pt
2 2 4
direct
0.0000 0.0000 0.0000
0.5000 0.5000 0.0000
0.0000 0.5000 0.0000
0.5000 0.0000 0.0000
0.2500 0.2500 0.5000
0.2500 0.7500 0.5000
0.7500 0.2500 0.5000
0.7500 0.7500 0.5000
```

## Properties
E in eV/atom: -47.795
Energy of formation from the pure elements in eV per formula unit: -2.12
Volume in A^3/atom: 15.6

---

Entry from Alexandria via LeMat-Bulk: a crystal of B2PtAu relaxed with PBEsol (SCAN).

POSCAR file:
```
B2PtAu
1.0
4.8526 0.0000 0.0000
0.0000 4.8526 0.0000
0.0000 0.0000 9.6125
B Pt Au
8 4 4
direct
0.2312 0.2500 0.1250
0.2500 0.7312 0.3750
0.2500 0.7688 0.8750
0.2688 0.2500 0.6250
0.7312 0.7500 0.6250
0.7500 0.2312 0.8750
0.7500 0.2688 0.3750
0.7688 0.7500 0.1250
0.0000 0.0000 0.0000
0.0000 0.5000 0.2500
0.5000 0.0000 0.7500
0.5000 0.5000 0.5000
0.0000 0.0000 0.5000
0.0000 0.5000 0.7500
0.5000 0.0000 0.2500
0.5000 0.5000 0.0000
```

## Properties
E in eV/atom: -38.322
Energy of formation from the pure elements in eV per formula unit: 0.92
Volume in A^3/atom: 14.1